The following is a DFT calculation (PBE with a Hubbard U) of crystalline LaCrO3 at its relaxed geometry.

Properties
* DFT total energy: -8.24 eV per atom

Lattice parameters (Å, degrees): 5.6118 7.8851 5.5648 90.00 90.00 90.00
Space group Pnma (No. 62)
Inequivalent atoms, fractional coordinates:
La 0.0377 0.2500 0.0081 (multiplicity 4)
Cr 0.0000 0.0000 0.5000 (multiplicity 4)
O 0.0190 0.7500 0.4196 (multiplicity 4)
O 0.2117 0.5430 0.7885 (multiplicity 8)